CrRhIO2 | PBE+U | relaxed

Unit cell a=3.7100 b=3.7100 c=7.4023 alpha=90.00 beta=90.00 gamma=90.00
Last column: magnetic moment on the atom in μB.
Atoms (fractional coordinates):
1 I 0.0000 0.0000 0.5000  -0.02
2 Cr 0.0000 0.0000 0.0000  2.75
3 O 0.5000 0.0000 0.0000  -0.40
4 O 0.0000 0.5000 0.0000  -0.40
5 Rh 0.5000 0.5000 0.5000  -0.18

Summary:
ρ ... 5.1 g cm⁻³
Space group ... P4/mmm (123)
E ... -5.5657 eV/atom